Entry 1:
Below is a PBEsol-optimized structure of KHgOs2, with properties calculated at the meta-GGA SCAN level.

Unit cell a=2.720 b=4.292 c=8.022 alpha=94.41 beta=90.00 gamma=108.47
Fractional positions:
Os (0.242, 0.483, 0.802)
Os (0.987, 0.974, 0.919)
K (0.752, 0.504, 0.228)
Hg (0.519, 0.039, 0.551)

Calculated values
Raw total energy: -54.43 eV/atom
D(E_F): 0.632 states/eV per atom
Symmetry: No. 8
DFT formation energy: 0.631 eV/atom

---

Entry 2:
Below is a PBEsol-optimized structure of InOsF2, with properties calculated at the meta-GGA SCAN level.

Unit cell a=2.745 b=2.745 c=8.564 alpha=80.78 beta=80.78 gamma=60.00
Each line ends with the local moment (μB).
Fractional positions:
In (0.000, 0.000, 0.000)  0.00
F (0.913, 0.913, 0.261)  0.03
Os (0.500, 0.500, 0.500)  1.14
F (0.087, 0.087, 0.739)  0.03

Calculated values
Raw total energy: -28.44 eV/atom
D(E_F): 0.325 states/eV per atom
Symmetry: No. 166
Raw formation energy: -0.35 eV/atom

---

Entry 3:
Below is a PBEsol-optimized structure of K2NaCoF6, with properties calculated at the meta-GGA SCAN level.

Unit cell a=5.736 b=5.736 c=5.736 alpha=60.00 beta=60.00 gamma=60.00
Each line ends with the local moment (μB).
Fractional positions:
Co (0.000, 0.000, 0.000)  -0.11
K (0.750, 0.750, 0.750)  0.00
F (0.227, 0.227, 0.773)  0.00
K (0.250, 0.250, 0.250)  0.00
F (0.227, 0.773, 0.227)  0.00
F (0.227, 0.773, 0.773)  0.00
Na (0.500, 0.500, 0.500)  0.00
F (0.773, 0.227, 0.227)  0.00
F (0.773, 0.773, 0.227)  0.00
F (0.773, 0.227, 0.773)  0.00

Calculated values
Raw total energy: -8.75 eV/atom
D(E_F): 0.000 states/eV per atom
Symmetry: No. 225
Raw formation energy: -2.80 eV/atom

---

Entry 4:
Below is a PBEsol-optimized structure of LiSb2Pb2, with properties calculated at the meta-GGA SCAN level.

Unit cell a=4.314 b=4.314 c=8.666 alpha=104.41 beta=104.41 gamma=90.00
Fractional positions:
Pb (0.405, 0.405, 0.810)
Sb (0.250, 0.750, 0.500)
Pb (0.595, 0.595, 0.190)
Sb (0.750, 0.250, 0.500)
Li (0.000, 0.000, 0.000)

Calculated values
Raw total energy: -45.59 eV/atom
ΔE to the lowest computed polymorph: 166 meV/atom
D(E_F): 0.518 states/eV per atom
Symmetry: No. 139
Raw formation energy: 0.10 eV/atom

---

Entry 5:
Below is a PBEsol-optimized structure of BeAl4Mo, with properties calculated at the meta-GGA SCAN level.

Unit cell a=4.990 b=4.990 c=4.990 alpha=60.00 beta=60.00 gamma=60.00
Fractional positions:
Be (0.750, 0.750, 0.750)
Al (0.375, 0.375, 0.375)
Al (0.375, 0.375, 0.874)
Al (0.874, 0.375, 0.375)
Al (0.375, 0.874, 0.375)
Mo (0.000, 0.000, 0.000)

Calculated values
Raw total energy: -11.54 eV/atom
D(E_F): 0.654 states/eV per atom
Symmetry: No. 216
DFT formation energy: 0.172 eV/atom

---

Entry 6:
Below is a PBEsol-optimized structure of CaTm2S4, with properties calculated at the meta-GGA SCAN level.

Unit cell a=3.812 b=6.571 c=12.978 alpha=90.00 beta=90.00 gamma=106.86
Fractional positions:
Tm (0.371, 0.742, 0.182)
S (0.278, 0.555, 0.371)
S (0.733, 0.467, 0.135)
Ca (0.113, 0.226, 0.011)
Tm (0.640, 0.279, 0.323)
S (0.009, 0.018, 0.245)
Tm (0.360, 0.721, 0.823)
S (0.991, 0.982, 0.745)
S (0.543, 0.086, 0.500)
S (0.267, 0.533, 0.635)
S (0.457, 0.914, 0.000)
Ca (0.887, 0.774, 0.511)
S (0.722, 0.445, 0.871)
Tm (0.629, 0.258, 0.682)

Calculated values
Raw total energy: -24.07 eV/atom
ΔE to the lowest computed polymorph: 11 meV/atom
D(E_F): 0.000 states/eV per atom
Symmetry: No. 36
Raw formation energy: -2.38 eV/atom

---

Entry 7:
Below is a PBEsol-optimized structure of Co2SiBi2, with properties calculated at the meta-GGA SCAN level.

Unit cell a=3.413 b=3.413 c=8.616 alpha=101.42 beta=101.42 gamma=90.00
Each line ends with the local moment (μB).
Fractional positions:
Bi (0.380, 0.380, 0.759)  -0.04
Co (0.250, 0.750, 0.500)  1.73
Bi (0.620, 0.620, 0.241)  -0.04
Co (0.750, 0.250, 0.500)  1.73
Si (0.000, 0.000, 0.000)  -0.04

Calculated values
Raw total energy: -39.71 eV/atom
D(E_F): 0.807 states/eV per atom
Symmetry: No. 139
Raw formation energy: 0.65 eV/atom

---

Entry 8:
Below is a PBEsol-optimized structure of TaNiSb2, with properties calculated at the meta-GGA SCAN level.

Unit cell a=3.925 b=3.925 c=5.500 alpha=110.91 beta=110.91 gamma=90.00
Fractional positions:
Sb (0.000, 0.000, 0.000)
Ta (0.500, 0.500, 0.000)
Ni (0.250, 0.750, 0.500)
Sb (0.750, 0.250, 0.500)

Calculated values
Raw total energy: -38.95 eV/atom
ΔE to the lowest computed polymorph: 255 meV/atom
D(E_F): 0.804 states/eV per atom
Symmetry: No. 119
Raw formation energy: 0.37 eV/atom

---

Entry 9:
Below is a PBEsol-optimized structure of Rb4H6C2O9, with properties calculated at the meta-GGA SCAN level.

Unit cell a=7.460 b=9.152 c=9.152 alpha=94.47 beta=109.69 gamma=109.69
Fractional positions:
H (0.878, 0.357, 0.294)
O (0.013, 0.945, 0.677)
H (0.622, 0.706, 0.643)
H (0.963, 0.221, 0.362)
O (0.649, 0.321, 0.888)
Rb (0.250, 0.312, 0.688)
Rb (0.463, 0.989, 0.724)
C (0.343, 0.636, 0.972)
Rb (0.750, 0.382, 0.618)
O (0.167, 0.553, 0.855)
Rb (0.963, 0.724, 0.989)
O (0.833, 0.447, 0.145)
Rb (0.250, 0.618, 0.382)
H (0.378, 0.294, 0.357)
H (0.655, 0.861, 0.000)
O (0.487, 0.323, 0.055)
H (0.463, 0.362, 0.221)
O (0.851, 0.112, 0.679)
O (0.513, 0.677, 0.945)
O (0.333, 0.145, 0.447)
H (0.537, 0.638, 0.779)
H (0.155, 0.000, 0.861)
O (0.574, 0.608, 0.686)
O (0.926, 0.314, 0.392)
C (0.843, 0.972, 0.636)
O (0.750, 0.977, 0.023)
H (0.122, 0.643, 0.706)
Rb (0.537, 0.011, 0.276)
O (0.351, 0.679, 0.112)
O (0.667, 0.855, 0.553)
O (0.149, 0.888, 0.321)
O (0.250, 0.023, 0.977)
Rb (0.750, 0.688, 0.312)
C (0.657, 0.364, 0.028)
O (0.426, 0.392, 0.314)
O (0.987, 0.055, 0.323)
C (0.157, 0.028, 0.364)
O (0.074, 0.686, 0.608)
H (0.345, 0.139, 0.000)
Rb (0.037, 0.276, 0.011)
H (0.037, 0.779, 0.638)
H (0.845, 0.000, 0.139)

Calculated values
Raw total energy: -10.13 eV/atom
D(E_F): 0.000 states/eV per atom
Symmetry: No. 15

---

Entry 10:
Below is a PBEsol-optimized structure of SmTlPd, with properties calculated at the meta-GGA SCAN level.

Unit cell a=3.862 b=7.726 c=7.726 alpha=120.00 beta=90.00 gamma=90.00
Fractional positions:
Tl (0.000, 0.000, 0.263)
Pd (0.500, 0.000, 0.000)
Tl (0.000, 0.263, 0.000)
Sm (0.500, 0.000, 0.594)
Sm (0.500, 0.594, 0.000)
Pd (0.000, 0.333, 0.667)
Tl (0.000, 0.737, 0.737)
Sm (0.500, 0.406, 0.406)
Pd (0.000, 0.667, 0.333)

Calculated values
Raw total energy: -50.64 eV/atom
D(E_F): 0.803 states/eV per atom
Symmetry: No. 189
DFT formation energy: -0.783 eV/atom

---

Entry 11:
Below is a PBEsol-optimized structure of TiCdGa2H, with properties calculated at the meta-GGA SCAN level.

Unit cell a=3.213 b=5.169 c=5.169 alpha=90.00 beta=90.00 gamma=90.00
Each line ends with the local moment (μB).
Fractional positions:
H (0.500, 0.000, 0.000)  0.00
Ga (0.000, 0.500, 0.000)  -0.03
Ti (0.500, 0.500, 0.500)  0.66
Cd (0.000, 0.000, 0.000)  -0.01
Ga (0.000, 0.000, 0.500)  -0.03

Calculated values
Raw total energy: -16.03 eV/atom
D(E_F): 0.497 states/eV per atom
Symmetry: No. 123

---

Entry 12:
Below is a PBEsol-optimized structure of Sc4AsRu, with properties calculated at the meta-GGA SCAN level.

Unit cell a=5.414 b=5.414 c=5.414 alpha=60.00 beta=60.00 gamma=60.00
Each line ends with the local moment (μB).
Fractional positions:
Sc (0.879, 0.374, 0.374)  0.12
Sc (0.374, 0.374, 0.879)  0.12
Ru (0.000, 0.000, 0.000)  0.05
As (0.750, 0.750, 0.750)  -0.02
Sc (0.374, 0.374, 0.374)  0.12
Sc (0.374, 0.879, 0.374)  0.12

Calculated values
Raw total energy: -18.30 eV/atom
D(E_F): 1.034 states/eV per atom
Symmetry: No. 216
DFT formation energy: 0.356 eV/atom

---

Entry 13:
Below is a PBEsol-optimized structure of Nb2InN, with properties calculated at the meta-GGA SCAN level.

Unit cell a=4.443 b=4.443 c=4.443 alpha=60.00 beta=60.00 gamma=60.00
Fractional positions:
Nb (0.250, 0.250, 0.250)
Nb (0.750, 0.750, 0.750)
In (0.500, 0.500, 0.500)
N (0.000, 0.000, 0.000)

Calculated values
Raw total energy: -26.32 eV/atom
D(E_F): 0.863 states/eV per atom
Symmetry: No. 225
Raw formation energy: 0.92 eV/atom

---

Entry 14:
Below is a PBEsol-optimized structure of CaSe, with properties calculated at the meta-GGA SCAN level.

Unit cell a=5.103 b=5.103 c=5.103 alpha=60.00 beta=60.00 gamma=60.00
Fractional positions:
Se (0.000, 0.000, 0.000)
Ca (0.500, 0.500, 0.500)
Se (0.250, 0.250, 0.250)
Ca (0.750, 0.750, 0.750)

Calculated values
Raw total energy: -15.78 eV/atom
Symmetry: No. 227
Raw formation energy: -0.91 eV/atom

---

Entry 15:
Below is a PBEsol-optimized structure of Fe2O3, with properties calculated at the meta-GGA SCAN level.

Unit cell a=7.974 b=7.974 c=7.974 alpha=109.47 beta=109.47 gamma=109.47
Each line ends with the local moment (μB).
Fractional positions:
O (0.551, 0.005, 0.780)  0.23
O (0.045, 0.051, 0.771)  0.23
Fe (0.721, 0.471, 0.250)  4.05
Fe (0.500, 0.000, 0.000)  -3.79
Fe (0.000, 0.000, 0.500)  -3.79
O (0.005, 0.280, 0.051)  0.23
O (0.949, 0.729, 0.455)  0.23
O (0.995, 0.720, 0.949)  0.23
O (0.725, 0.771, 0.720)  0.23
Fe (0.750, 0.221, 0.471)  4.05
Fe (0.250, 0.779, 0.529)  4.05
O (0.051, 0.271, 0.545)  0.23
O (0.545, 0.775, 0.995)  0.23
O (0.495, 0.545, 0.275)  0.23
Fe (0.250, 0.279, 0.029)  4.05
O (0.275, 0.229, 0.280)  0.23
O (0.955, 0.949, 0.229)  0.23
O (0.720, 0.449, 0.495)  0.23
O (0.505, 0.455, 0.725)  0.23
Fe (0.529, 0.250, 0.779)  4.05
O (0.771, 0.220, 0.225)  0.23
O (0.229, 0.780, 0.775)  0.23
Fe (0.471, 0.750, 0.221)  4.05
Fe (0.221, 0.971, 0.250)  4.05
O (0.729, 0.955, 0.449)  0.23
Fe (0.500, 0.500, 0.500)  -3.79
Fe (0.779, 0.029, 0.750)  4.05
Fe (0.971, 0.750, 0.721)  4.05
O (0.271, 0.045, 0.551)  0.23
Fe (0.279, 0.529, 0.750)  4.05
Fe (0.750, 0.721, 0.971)  4.05
O (0.455, 0.225, 0.005)  0.23
O (0.220, 0.725, 0.271)  0.23
O (0.449, 0.995, 0.220)  0.23
Fe (0.029, 0.250, 0.279)  4.05
O (0.775, 0.495, 0.045)  0.23
O (0.780, 0.275, 0.729)  0.23
Fe (0.000, 0.500, 0.000)  -3.79
O (0.225, 0.505, 0.955)  0.23
O (0.280, 0.551, 0.505)  0.23

Calculated values
Raw total energy: -12.57 eV/atom
D(E_F): 0.023 states/eV per atom
Symmetry: No. 206
Raw formation energy: -1.58 eV/atom

---

Entry 16:
Below is a PBEsol-optimized structure of V3O5, with properties calculated at the meta-GGA SCAN level.

Unit cell a=4.910 b=5.558 c=7.023 alpha=109.86 beta=90.00 gamma=116.21
Each line ends with the local moment (μB).
Fractional positions:
O (0.807, 0.500, 0.250)  -0.03
V (0.622, 0.755, 0.218)  1.63
O (0.193, 0.500, 0.750)  -0.03
O (0.343, 0.885, 0.162)  -0.08
V (0.000, 0.500, 0.000)  1.73
V (0.378, 0.245, 0.782)  1.63
O (0.042, 0.886, 0.662)  -0.08
O (0.575, 0.335, 0.555)  -0.04
O (0.657, 0.115, 0.838)  -0.08
V (0.000, 0.500, 0.500)  1.73
O (0.260, 0.335, 0.055)  -0.04
O (0.425, 0.665, 0.445)  -0.04
V (0.366, 0.245, 0.282)  1.63
V (0.634, 0.755, 0.718)  1.63
O (0.740, 0.665, 0.945)  -0.04
O (0.958, 0.114, 0.338)  -0.08

Calculated values
Raw total energy: -13.13 eV/atom
D(E_F): 0.483 states/eV per atom
Symmetry: No. 15
Raw formation energy: -2.68 eV/atom

---

Entry 17:
Below is a PBEsol-optimized structure of MgZn2Au, with properties calculated at the meta-GGA SCAN level.

Unit cell a=4.006 b=4.026 c=4.786 alpha=115.05 beta=114.74 gamma=90.00
Fractional positions:
Mg (0.500, 0.000, 0.000)
Au (0.000, 0.500, 0.000)
Zn (0.750, 0.750, 0.499)
Zn (0.250, 0.250, 0.501)

Calculated values
Raw total energy: -25.64 eV/atom
D(E_F): 0.172 states/eV per atom
Symmetry: No. 12
DFT formation energy: -0.347 eV/atom

---

Entry 18:
Below is a PBEsol-optimized structure of Si2TeP, with properties calculated at the meta-GGA SCAN level.

Unit cell a=3.564 b=4.575 c=4.575 alpha=101.51 beta=90.00 gamma=90.00
Fractional positions:
Si (0.000, 0.500, 0.000)
Te (0.500, 0.000, 0.000)
Si (0.000, 0.000, 0.500)
P (0.500, 0.500, 0.500)

Calculated values
Raw total energy: -16.07 eV/atom
ΔE to the lowest computed polymorph: 485 meV/atom
D(E_F): 0.513 states/eV per atom
Symmetry: No. 65
Raw formation energy: 0.85 eV/atom

---

Entry 19:
Below is a PBEsol-optimized structure of Y4Si5Ir9, with properties calculated at the meta-GGA SCAN level.

Unit cell a=5.480 b=5.480 c=22.518 alpha=90.00 beta=90.00 gamma=120.00
Fractional positions:
Si (0.000, 0.000, 0.000)
Si (0.333, 0.667, 0.168)
Ir (0.167, 0.833, 0.250)
Si (0.000, 0.000, 0.667)
Y (0.333, 0.667, 0.674)
Y (0.333, 0.667, 0.826)
Ir (0.665, 0.832, 0.413)
Si (0.000, 0.000, 0.167)
Y (0.667, 0.333, 0.174)
Ir (0.832, 0.168, 0.587)
Y (0.333, 0.667, 0.972)
Y (0.333, 0.667, 0.528)
Ir (0.168, 0.832, 0.413)
Ir (0.333, 0.167, 0.750)
Y (0.667, 0.333, 0.472)
Si (0.667, 0.333, 0.832)
Si (0.667, 0.333, 0.668)
Ir (0.667, 0.833, 0.250)
Ir (0.833, 0.167, 0.750)
Ir (0.833, 0.667, 0.750)
Ir (0.167, 0.333, 0.250)
Si (0.000, 0.000, 0.833)
Ir (0.168, 0.335, 0.087)
Ir (0.832, 0.168, 0.913)
Ir (0.335, 0.168, 0.587)
Si (0.000, 0.000, 0.500)
Y (0.667, 0.333, 0.028)
Ir (0.335, 0.168, 0.913)
Y (0.667, 0.333, 0.326)
Si (0.333, 0.667, 0.332)
Ir (0.168, 0.832, 0.087)
Ir (0.168, 0.335, 0.413)
Ir (0.832, 0.665, 0.587)
Ir (0.832, 0.665, 0.913)
Si (0.000, 0.000, 0.333)
Ir (0.665, 0.832, 0.087)

Calculated values
Raw total energy: -45.68 eV/atom
D(E_F): 0.445 states/eV per atom
Symmetry: No. 194
Raw formation energy: -1.16 eV/atom

---

Entry 20:
Below is a PBEsol-optimized structure of Dy6MnSi2S14, with properties calculated at the meta-GGA SCAN level.

Unit cell a=5.561 b=9.725 c=9.725 alpha=120.00 beta=90.00 gamma=90.00
Each line ends with the local moment (μB).
Fractional positions:
Si (0.341, 0.000, 0.000)  0.00
S (0.986, 0.564, 0.814)  0.00
S (0.492, 0.083, 0.230)  0.00
S (0.723, 0.575, 0.492)  0.03
S (0.239, 0.416, 0.243)  0.03
Si (0.834, 0.333, 0.667)  0.00
Dy (0.250, 0.024, 0.462)  0.01
S (0.964, 0.000, 0.000)  0.00
S (0.723, 0.917, 0.425)  0.03
S (0.458, 0.333, 0.667)  0.00
S (0.492, 0.770, 0.853)  0.00
Dy (0.250, 0.538, 0.563)  0.01
Mn (0.484, 0.667, 0.333)  4.29
S (0.239, 0.757, 0.173)  0.03
Dy (0.755, 0.309, 0.205)  0.02
Dy (0.755, 0.795, 0.105)  0.02
S (0.239, 0.827, 0.584)  0.03
S (0.986, 0.251, 0.436)  0.00
S (0.986, 0.186, 0.749)  0.00
S (0.492, 0.147, 0.917)  0.00
S (0.723, 0.508, 0.083)  0.03
Dy (0.755, 0.895, 0.691)  0.02
Dy (0.250, 0.437, 0.976)  0.01

Calculated values
Raw total energy: -21.85 eV/atom
Symmetry: No. 143
Raw formation energy: -1.86 eV/atom